A relaxed structure of Be2NiRu2, computed with PBE.

Summary:
final energy: -62.1 eV/cell
polymorph energy (0 for the lowest one): 391 meV per atom
energy of formation: 0.15 eV per atom

a b c (Å): 6.5047 6.5047 2.7575
angles (deg): 90.00 90.00 90.00
Closest atoms and distances in Å follow each position.
Space group P4/mbm (No. 127)
Symmetry-distinct sites (fractional):
Be: 0.1619 0.3381 0.0000 [4 per cell]  6 Ru 2.32-2.38
Ni: 0.0000 0.0000 0.5000 [2 per cell]  4 Ru 2.53, 2 Ni 2.76, 8 Be 2.80
Ru: 0.1355 0.6355 0.5000 [4 per cell]  6 Be 2.32-2.38, 1 Ru 2.49, 2 Ni 2.53